! TbPm12Er3 PBE-GGA optimized geometry; values from VASP
&SYSTEM
  ibrav = 0, nat = 16, ntyp = 3
/
ATOMIC_SPECIES
Tb 158.93 Tb.upf
Pm 145.00 Pm.upf
Er 167.26 Er.upf
CELL_PARAMETERS angstrom
5.1176 0.0000 0.0000
0.0000 5.1176 0.0000
0.0000 0.0000 20.4196
ATOMIC_POSITIONS angstrom
Tb 0.0000 0.0000 0.0000
Pm 0.0000 2.5588 2.5665
Pm 0.0000 2.5588 7.6631
Pm 0.0000 2.5588 12.7565
Pm 0.0000 2.5588 17.8531
Pm 2.5588 0.0000 2.5665
Pm 2.5588 0.0000 7.6631
Pm 2.5588 0.0000 12.7565
Pm 2.5588 0.0000 17.8531
Pm 2.5588 2.5588 0.0000
Pm 2.5588 2.5588 5.1182
Pm 2.5588 2.5588 10.2098
Pm 2.5588 2.5588 15.3013
Er 0.0000 0.0000 5.1160
Er 0.0000 0.0000 10.2098
Er 0.0000 0.0000 15.3036
! E_tot: -4.693 eV/atom
! DFT formation energy: 1 kJ/mol of atoms

---

! Tl2SbSe PBE-GGA optimized geometry; values from VASP
&SYSTEM
  ibrav = 0, nat = 4, ntyp = 3
/
ATOMIC_SPECIES
Tl 204.38 Tl.upf
Sb 121.76 Sb.upf
Se 78.96 Se.upf
CELL_PARAMETERS angstrom
-1.8690 2.8207 5.6988
1.8690 -2.8207 5.6988
1.8690 2.8207 -5.6988
ATOMIC_POSITIONS angstrom
Tl 0.0000 0.0000 0.0000
Tl 0.0000 2.8207 2.4828
Sb 1.8690 0.0000 3.3998
Se 0.0000 0.0000 5.4964
! E_tot: -3.171 eV/atom
! ΔE to the lowest computed polymorph: 11 meV per atom
! Energy relative to the elements, uncorrected: -0.0860 eV/atom

---

! ZrTc PBE-GGA optimized geometry; values from VASP
&SYSTEM
  ibrav = 0, nat = 12, ntyp = 2
/
ATOMIC_SPECIES
Zr 91.22 Zr.upf
Tc 98.00 Tc.upf
CELL_PARAMETERS angstrom
7.7488 0.0000 0.0000
-3.8744 6.7106 0.0000
0.0000 0.0000 4.6741
ATOMIC_POSITIONS angstrom
Zr 0.0000 2.3357 1.1685
Zr -1.8516 5.5428 1.1685
Zr 2.0228 1.1679 3.5056
Zr 1.8516 5.5428 1.1685
Zr 5.7260 1.1679 3.5056
Zr 3.8744 4.3749 3.5056
Tc -1.2675 3.7420 3.5056
Tc 1.2675 3.7420 3.5056
Tc 0.0000 5.9374 3.5056
Tc 3.8744 0.7733 1.1685
Tc 2.6069 2.9687 1.1685
Tc 5.1419 2.9687 1.1685
! E_tot: -9.437 eV/atom
! DFT formation energy: 2 kJ/mol of atoms

---

! CaSmPa2O8 PBE-GGA optimized geometry; values from VASP
&SYSTEM
  ibrav = 0, nat = 12, ntyp = 4
/
ATOMIC_SPECIES
Ca 40.08 Ca.upf
Sm 150.36 Sm.upf
Pa 231.04 Pa.upf
O 16.00 O.upf
CELL_PARAMETERS angstrom
-2.7409 2.7409 5.3870
2.7409 -2.7409 5.3870
2.7409 2.7409 -5.3870
ATOMIC_POSITIONS angstrom
Ca 0.0000 0.0000 0.0000
Sm 2.7409 0.0000 2.6935
Pa 0.0000 0.0000 5.3870
Pa 0.0000 2.7409 2.6935
O 1.4732 1.3812 -1.3543
O 4.0086 1.3812 -1.3543
O 1.3812 1.4732 1.3543
O 1.3597 -1.2677 6.7413
O -1.2677 1.3597 4.0327
O 1.2677 1.3597 4.0327
O 1.3812 4.0086 1.3543
O 1.3597 1.2677 6.7413
! E_tot: -8.823 eV/atom
! Energy relative to the elements, uncorrected: -3.3743 eV/atom

---

! GeSbAs PBE-GGA optimized geometry; values from VASP
&SYSTEM
  ibrav = 0, nat = 6, ntyp = 3
/
ATOMIC_SPECIES
Ge 72.64 Ge.upf
Sb 121.76 Sb.upf
As 74.92 As.upf
CELL_PARAMETERS angstrom
2.2243 1.2842 9.6717
-2.2243 1.2842 9.6717
0.0000 -2.5684 9.6717
ATOMIC_POSITIONS angstrom
Ge 0.0000 0.0000 2.2431
Ge 0.0000 0.0000 26.7720
Sb 0.0000 0.0000 10.8438
Sb 0.0000 0.0000 18.1712
As 0.0000 0.0000 4.7504
As 0.0000 0.0000 24.2647
! E_tot: -4.348 eV/atom
! ΔE to the lowest computed polymorph: 1 meV per atom
! Energy relative to the elements, uncorrected: 0.1148 eV/atom

---

! MgIn2 PBE-GGA optimized geometry; values from VASP
&SYSTEM
  ibrav = 0, nat = 24, ntyp = 2
/
ATOMIC_SPECIES
Mg 24.30 Mg.upf
In 114.82 In.upf
CELL_PARAMETERS angstrom
0.0000 6.7330 6.7330
6.7330 0.0000 6.7330
6.7330 6.7330 0.0000
ATOMIC_POSITIONS angstrom
Mg 10.5908 6.2417 6.2417
Mg 2.8752 2.8752 2.8752
Mg 7.2243 7.2243 2.8752
Mg 7.2243 2.8752 7.2243
Mg 6.2417 10.5908 6.2417
Mg 6.2417 6.2417 10.5908
Mg 10.5908 10.5908 10.5908
Mg 2.8752 7.2243 7.2243
In 0.0000 0.0000 0.0000
In 3.3665 3.3665 0.0000
In 3.3665 0.0000 3.3665
In 5.0497 5.0497 2.5235
In 5.0497 2.5235 5.0497
In 7.5760 5.0497 5.0497
In 8.4162 8.4162 5.8900
In 8.4162 5.8900 8.4162
In 10.9425 8.4162 8.4162
In 0.0000 3.3665 3.3665
In 2.5235 5.0497 5.0497
In 5.0497 7.5760 5.0497
In 5.0497 5.0497 7.5760
In 5.8900 8.4162 8.4162
In 8.4162 10.9425 8.4162
In 8.4162 8.4162 10.9425
! E_tot: -2.379 eV/atom
! DFT formation energy: -2 kJ/mol of atoms

---

! YThTlAu PBE-GGA optimized geometry; values from VASP
&SYSTEM
  ibrav = 0, nat = 4, ntyp = 4
/
ATOMIC_SPECIES
Y 88.91 Y.upf
Th 232.04 Th.upf
Tl 204.38 Tl.upf
Au 196.97 Au.upf
CELL_PARAMETERS angstrom
0.0000 3.7737 3.7737
3.7737 0.0000 3.7737
3.7737 3.7737 0.0000
ATOMIC_POSITIONS angstrom
Y 0.0000 0.0000 0.0000
Th 3.7737 3.7737 3.7737
Tl 5.6606 5.6606 5.6606
Au 1.8869 1.8869 1.8869
! E_tot: -5.287 eV/atom
! ΔE to the lowest computed polymorph: 83 meV per atom
! DFT formation energy: -39 kJ/mol of atoms

---

! Sm2InBi PBE-GGA optimized geometry; values from VASP
&SYSTEM
  ibrav = 0, nat = 4, ntyp = 3
/
ATOMIC_SPECIES
Sm 150.36 Sm.upf
In 114.82 In.upf
Bi 208.98 Bi.upf
CELL_PARAMETERS angstrom
4.5990 0.0000 0.0000
0.0000 4.4695 0.0000
-2.2959 0.0000 5.9297
ATOMIC_POSITIONS angstrom
Sm 0.0000 0.0000 0.0000
Sm -0.0052 2.2348 3.1808
In 2.2948 0.0000 2.7985
Bi 2.2991 2.2348 0.5227
! E_tot: -4.640 eV/atom
! ΔE to the lowest computed polymorph: 44 meV per atom
! DFT formation energy: -60 kJ/mol of atoms

---

! V2FeCo9 PBE-GGA optimized geometry; values from VASP
&SYSTEM
  ibrav = 0, nat = 12, ntyp = 3
/
ATOMIC_SPECIES
V 50.94 V.upf
Fe 55.84 Fe.upf
Co 58.93 Co.upf
CELL_PARAMETERS angstrom
3.5382 0.0000 0.0000
0.0000 3.5382 0.0000
0.0000 0.0000 10.6092
ATOMIC_POSITIONS angstrom
V 0.0000 0.0000 1.7690
V 0.0000 0.0000 8.8402
Fe 0.0000 0.0000 5.3046
Co 0.0000 1.7691 0.0000
Co 0.0000 1.7691 3.5336
Co 0.0000 1.7691 7.0756
Co 1.7691 0.0000 0.0000
Co 1.7691 0.0000 3.5336
Co 1.7691 0.0000 7.0756
Co 1.7691 1.7691 1.7592
Co 1.7691 1.7691 5.3046
Co 1.7691 1.7691 8.8501
! E_tot: -7.643 eV/atom
! DFT formation energy: -9 kJ/mol of atoms

---

! NaSn2Pb3 PBE-GGA optimized geometry; values from VASP
&SYSTEM
  ibrav = 0, nat = 6, ntyp = 3
/
ATOMIC_SPECIES
Na 22.99 Na.upf
Sn 118.71 Sn.upf
Pb 207.20 Pb.upf
CELL_PARAMETERS angstrom
2.8483 -5.5756 0.0000
2.8483 5.5756 0.0000
0.0000 0.0000 5.6117
ATOMIC_POSITIONS angstrom
Na 0.0000 0.0000 0.0000
Sn 2.8483 2.0513 0.0000
Sn 2.8483 -2.0513 0.0000
Pb 2.8483 3.7079 2.8058
Pb 2.8483 0.0000 2.8058
Pb 2.8483 -3.7079 2.8058
! E_tot: -3.428 eV/atom
! ΔE to the lowest computed polymorph: 0 meV per atom
! DFT formation energy: -2 kJ/mol of atoms

---

! Ce2PmSe3 PBE-GGA optimized geometry; values from VASP
&SYSTEM
  ibrav = 0, nat = 12, ntyp = 3
/
ATOMIC_SPECIES
Ce 140.12 Ce.upf
Pm 145.00 Pm.upf
Se 78.96 Se.upf
CELL_PARAMETERS angstrom
4.1475 0.0000 0.0000
-2.0737 3.5918 0.0000
0.0000 0.0000 21.1881
ATOMIC_POSITIONS angstrom
Ce 0.0000 2.3946 1.7369
Ce 0.0000 2.3946 8.8572
Ce 2.0737 1.1973 12.3309
Ce 2.0737 1.1973 19.4512
Pm 0.0000 0.0000 5.2970
Pm 0.0000 0.0000 15.8911
Se 0.0000 0.0000 0.0000
Se 0.0000 0.0000 10.5941
Se 0.0000 2.3946 14.1023
Se 0.0000 2.3946 17.6799
Se 2.0737 1.1973 3.5082
Se 2.0737 1.1973 7.0858
! E_tot: -6.323 eV/atom
! ΔE to the lowest computed polymorph: 18 meV per atom
! Energy relative to the elements, uncorrected: -1.8108 eV/atom

---

! BeAl2Cd PBE-GGA optimized geometry; values from VASP
&SYSTEM
  ibrav = 0, nat = 4, ntyp = 3
/
ATOMIC_SPECIES
Be 9.01 Be.upf
Al 26.98 Al.upf
Cd 112.41 Cd.upf
CELL_PARAMETERS angstrom
2.7494 -4.0852 0.0000
2.7494 4.0852 0.0000
0.0000 0.0000 2.9428
ATOMIC_POSITIONS angstrom
Be 0.0000 0.0000 0.0000
Al 1.3747 2.0426 1.4714
Al 1.3747 -2.0426 1.4714
Cd 2.7494 0.0000 0.0000
! E_tot: -2.669 eV/atom
! ΔE to the lowest computed polymorph: 152 meV per atom
! DFT formation energy: 35 kJ/mol of atoms

---

Q: The highest E_tot belongs to which entry?
A: MgIn2

---

Q: Which formula does entry 4 have?
A: CaSmPa2O8

---

Q: The highest E_tot belongs to which entry?
A: MgIn2